(1)
Entry from the Open Quantum Materials Database: an optimized crystal structure of TbSc2N3 (PBE-GGA).

Its total energy is -52.92 eV/cell. The total magnetization is 0.01 Bohr magnetons per cell.

It has space group P-3m1 (No. 164), with a = 3.2864 Å, b = 3.2864 Å, c = 8.0443 Å, α = 90.00°, β = 90.00° and γ = 120.00°. The asymmetric unit holds Tb at (0.0000, 0.0000, 0.0000), Sc at (0.3333, 0.6667, 0.3412), N at (0.0000, 0.0000, 0.5000) and N at (0.3333, 0.6667, 0.8183).

(2)
Entry from the Open Quantum Materials Database: an optimized crystal structure of Sc3TcN (PBE-GGA).

Its total energy is -168.06 eV/cell. The total magnetization is 0.04 Bohr magnetons per cell.

It has space group C2/m (No. 12), with a = 10.255 Å, b = 4.558 Å, c = 7.579 Å, α = 90.00°, β = 112.19° and γ = 90.00°. The asymmetric unit holds Sc at (0.100, 0.000, 0.215), Sc at (0.134, 0.500, 0.915), Sc at (0.151, 0.000, 0.649), Tc at (0.105, 0.500, 0.457) and N at (0.134, 0.000, 0.939).